(1)
DFT (PBE) results for Rb3Tl2Pd2 after structural relaxation.

abc: 7.111 9.497 14.726
angles: 90.00 90.00 90.00
Space group Pbcm (No. 57)
Symmetry-distinct sites (fractional):
Rb  0.133  0.108  0.097 x8
Rb  0.325  0.713  0.750 x4
Tl  0.225  0.074  0.750 x4
Tl  0.415  0.750  0.000 x4
Pd  0.393  0.018  0.584 x8

Calculated values
**Energy of formation**: -0.10 eV per atom
**Total moment**: 0.0000 μB/atom

***

(2)
DFT (PBE) results for RbTl2Pd after structural relaxation.

abc: 4.4194 4.4194 23.6514
angles: 90.00 90.00 120.00
Space group R-3m (No. 166, hexagonal axes)
Symmetry-distinct sites (fractional):
Rb  0.0000  0.0000  0.0000 x3
Tl  0.0000  0.0000  0.2197 x6
Pd  0.0000  0.0000  0.5000 x3

Calculated values
**Energy of formation**: -0.09 eV per atom
**Total moment**: 0.0000 μB/atom

***

(3)
DFT (PBE) results for RbZrTl2Pd after structural relaxation.

abc: 5.606 5.606 6.383
angles: 90.00 90.00 90.00
Space group P4/mmm (No. 123)
Symmetry-distinct sites (fractional):
Rb  0.000  0.000  0.000 x1
Zr  0.000  0.000  0.500 x1
Tl  0.000  0.500  0.500 x2
Pd  0.500  0.500  0.000 x1

Calculated values
**Energy of formation**: 1.04 eV per atom
**Total moment**: 0.1819 μB/atom

***

(4)
DFT (PBE) results for RbVPd2 after structural relaxation.

abc: 7.694 7.694 6.906
angles: 90.00 90.00 90.00
Space group I-42d (No. 122)
Symmetry-distinct sites (fractional):
Rb  0.000  0.000  0.000 x4
V  0.000  0.000  0.500 x4
Pd  0.161  0.750  0.625 x8

Calculated values
**Energy of formation**: 0.62 eV per atom
**Excess energy over the best structure of this formula in the dataset**: 72.7 kJ/mol of formula units
**Total moment**: 0.5242 μB/atom

***

(5)
DFT (PBE) results for RbVPd2 after structural relaxation.

abc: 6.925 6.925 6.925
angles: 90.00 90.00 90.00
Space group Fm-3m (No. 225)
Symmetry-distinct sites (fractional):
Rb  0.000  0.000  0.000 x4
V  0.000  0.000  0.500 x4
Pd  0.250  0.250  0.250 x8

Calculated values
**Energy of formation**: 0.76 eV per atom
**Excess energy over the best structure of this formula in the dataset**: 125.8 kJ/mol of formula units
**Total moment**: 0.7744 μB/atom

***

(6)
DFT (PBE) results for Rb2VPd after structural relaxation.

abc: 8.217 8.217 8.217
angles: 90.00 90.00 90.00
Space group Fm-3m (No. 225)
Symmetry-distinct sites (fractional):
Rb  0.250  0.250  0.250 x8
V  0.000  0.000  0.000 x4
Pd  0.000  0.000  0.500 x4

Calculated values
**Energy of formation**: 1.09 eV per atom
**Excess energy over the best structure of this formula in the dataset**: 157.2 kJ/mol of formula units
**Total moment**: 1.2045 μB/atom

***

Repeat the fourth record exactly.
DFT (PBE) results for RbVPd2 after structural relaxation.

abc: 7.694 7.694 6.906
angles: 90.00 90.00 90.00
Space group I-42d (No. 122)
Symmetry-distinct sites (fractional):
Rb  0.000  0.000  0.000 x4
V  0.000  0.000  0.500 x4
Pd  0.161  0.750  0.625 x8

Calculated values
**Energy of formation**: 0.62 eV per atom
**Excess energy over the best structure of this formula in the dataset**: 72.7 kJ/mol of formula units
**Total moment**: 0.5242 μB/atom

***

> What is the energy of formation in the third record?

1.04 eV per atom

***

> Which of these has the highest total moment?

Rb2VPd